{"formula": "AcPrMo2O8", "functional": "GGA+U", "state": "optimized geometry", "sg": "I-4", "total_energy_ev_per_cell": -92.2, "m_tot_mub_per_atom": 0.167, "lattice": [[-2.747, 2.747, 5.955], [2.747, -2.747, 5.955], [2.747, 2.747, -5.955]], "species": ["Ac", "Pr", "Mo", "Mo", "O", "O", "O", "O", "O", "O", "O", "O"], "frac_coords": [[0.000, 0.000, 0.000], [0.250, 0.750, 0.500], [0.500, 0.500, 0.000], [0.750, 0.250, 0.500], [0.274, 0.676, 0.111], [0.324, 0.435, 0.598], [0.422, 0.011, 0.087], [0.565, 0.163, 0.889], [0.665, 0.578, 0.589], [0.837, 0.726, 0.402], [0.924, 0.335, 0.913], [0.989, 0.076, 0.411]]}